Below is a relaxed structure of Ac2GaCu6Pd, with properties calculated at the PBE level.

a = 5.8050 Å, b = 6.3458 Å, c = 6.6693 Å
α = 70.76°, β = 65.15°, γ = 63.74°
Element x y z (fractional)
Ac 0.2261 0.2172 0.3328
Ac 0.7739 0.7828 0.6672
Ga 0.0000 0.0000 0.0000
Cu 0.2368 0.2643 0.8204
Cu 0.2459 0.6115 0.8940
Cu 0.3284 0.7361 0.1748
Cu 0.6716 0.2639 0.8252
Cu 0.7541 0.3885 0.1060
Cu 0.7632 0.7357 0.1796
Pd 0.5000 0.5000 0.5000

Summary:
As for the electronic total energy: -0.1575 Ha/atom.



Below is a relaxed structure of AcGa2CuPd5, with properties calculated at the PBE level.

a = 4.8161 Å, b = 4.8161 Å, c = 7.3062 Å
α = 90.00°, β = 90.00°, γ = 90.00°
Element x y z (fractional)
Ac 0.0000 0.0000 0.0000
Ga 0.5000 0.5000 0.3341
Ga 0.5000 0.5000 0.6659
Cu 0.0000 0.0000 0.5000
Pd 0.0000 0.5000 0.2990
Pd 0.0000 0.5000 0.7010
Pd 0.5000 0.0000 0.2990
Pd 0.5000 0.0000 0.7010
Pd 0.5000 0.5000 0.0000

Summary:
As for the electronic total energy: -0.1787 Ha/atom.



Below is a relaxed structure of AcGaCuPd, with properties calculated at the PBE level.

a = 7.0087 Å, b = 7.0087 Å, c = 7.0087 Å
α = 90.00°, β = 90.00°, γ = 90.00°
Element x y z (fractional)
Ac 0.0000 0.0000 0.0000
Ac 0.0000 0.5000 0.5000
Ac 0.5000 0.0000 0.5000
Ac 0.5000 0.5000 0.0000
Ga 0.0000 0.0000 0.5000
Ga 0.0000 0.5000 0.0000
Ga 0.5000 0.0000 0.0000
Ga 0.5000 0.5000 0.5000
Cu 0.2500 0.2500 0.7500
Cu 0.2500 0.7500 0.2500
Cu 0.7500 0.2500 0.2500
Cu 0.7500 0.7500 0.7500
Pd 0.2500 0.2500 0.2500
Pd 0.2500 0.7500 0.7500
Pd 0.7500 0.2500 0.7500
Pd 0.7500 0.7500 0.2500

Summary:
For the relative energy among the computed polymorphs, the calculation gives 241 meV per atom. As for the electronic total energy: -0.1625 Ha/atom.



Below is a relaxed structure of AcGa2CuPd, with properties calculated at the PBE level.

a = 4.5643 Å, b = 4.5643 Å, c = 9.8934 Å
α = 90.00°, β = 90.00°, γ = 90.00°
Element x y z (fractional)
Ac 0.0000 0.0000 0.0000
Ac 0.5000 0.5000 0.5000
Ga 0.0000 0.0000 0.3664
Ga 0.0000 0.0000 0.6336
Ga 0.5000 0.5000 0.1336
Ga 0.5000 0.5000 0.8664
Cu 0.0000 0.5000 0.7500
Cu 0.5000 0.0000 0.2500
Pd 0.0000 0.5000 0.2500
Pd 0.5000 0.0000 0.7500

Summary:
As for the electronic total energy: -0.1641 Ha/atom.



Below is a relaxed structure of AcGaCu2Pd4, with properties calculated at the PBE level.

a = 9.1483 Å, b = 9.1483 Å, c = 9.1483 Å
α = 27.36°, β = 27.36°, γ = 27.36°
Element x y z (fractional)
Ac 0.0000 0.0000 0.0000
Ga 0.5000 0.5000 0.5000
Cu 0.2387 0.2387 0.2387
Cu 0.7613 0.7613 0.7613
Pd 0.1331 0.1331 0.1331
Pd 0.4051 0.4051 0.4051
Pd 0.5949 0.5949 0.5949
Pd 0.8669 0.8669 0.8669

Summary:
As for the electronic total energy: -0.1837 Ha/atom.



Below is a relaxed structure of AcGa4Cu2Pd, with properties calculated at the PBE level.

a = 9.8028 Å, b = 9.8028 Å, c = 9.8028 Å
α = 25.08°, β = 25.08°, γ = 25.08°
Element x y z (fractional)
Ac 0.0000 0.0000 0.0000
Ga 0.1297 0.1297 0.1297
Ga 0.4070 0.4070 0.4070
Ga 0.5930 0.5930 0.5930
Ga 0.8703 0.8703 0.8703
Cu 0.2338 0.2338 0.2338
Cu 0.7662 0.7662 0.7662
Pd 0.5000 0.5000 0.5000

Summary:
As for the electronic total energy: -0.1499 Ha/atom.



For each record above, in turn, the calculated DFT formation energy values are -184.3 -393.1 -316.1 -576.0 -487.2 -379.8 meV/atom.
For each record above, in turn, the calculated total moment values are 0.000 0.000 0.000 0.000 0.000 0.000 Bohr magnetons per cell.